(1)
PrAl2Te6, optimized geometry, DFT PBE; SG = C2/c; M_tot = 0.000 μB/f.u.; uncorrected formation energy = -4.78 eV/f.u.; E_tot = -35.9 eV per formula unit; V = 33.973 Å³ per atom
1.0
7.7639 0.3593 0.3478
2.7079 9.1294 1.3636
2.7079 1.6587 9.0804
Pr Al Te
2 4 12
direct
0.2500 0.1706 0.8294 Pr
0.7500 0.8294 0.1706 Pr
0.2321 0.7850 0.7163 Al
0.2679 0.2837 0.2150 Al
0.7679 0.2150 0.2837 Al
0.7321 0.7163 0.7850 Al
0.5868 0.7165 0.5684 Te
0.9132 0.4316 0.2835 Te
0.4132 0.2835 0.4316 Te
0.0868 0.5684 0.7165 Te
0.9316 0.9143 0.3865 Te
0.5684 0.6135 0.0857 Te
0.0684 0.0857 0.6135 Te
0.4316 0.3865 0.9143 Te
0.1998 0.8118 0.9868 Te
0.3002 0.0132 0.1882 Te
0.8002 0.1882 0.0132 Te
0.6998 0.9868 0.8118 Te



(2)
Pr2AlTe, optimized geometry, DFT PBE; SG = R-3m; M_tot = 0.000 μB/f.u.; uncorrected formation energy = -3.25 eV/f.u.; E_tot = -19.7 eV per formula unit; V = 31.776 Å³ per atom
1.0
-1.2560 -4.0325 -0.7366
2.0044 -3.2573 1.9373
-4.8726 -1.9500 6.5067
Pr Te Al
2 1 1
direct
0.7487 0.7487 0.7539 Pr
0.2513 0.2513 0.2461 Pr
0.5000 0.5000 0.5000 Te
0.0000 0.0000 0.0000 Al



(3)
Pr2AlTe5, optimized geometry, DFT PBE; SG = Cmcm; M_tot = 0.000 μB/f.u.; uncorrected formation energy = -6.70 eV/f.u.; E_tot = -35.7 eV per formula unit; V = 39.976 Å³ per atom
1.0
6.2304 0.0000 0.0000
-3.1152 7.5871 0.0000
0.0000 0.0000 13.5310
Pr Al Te
4 2 10
direct
0.8339 0.6678 0.4271 Pr
0.8339 0.6678 0.0729 Pr
0.1661 0.3322 0.5729 Pr
0.1661 0.3322 0.9271 Pr
0.8187 0.6374 0.7500 Al
0.1813 0.3626 0.2500 Al
0.9626 0.9251 0.8843 Te
0.9626 0.9251 0.6157 Te
0.3055 0.6109 0.3974 Te
0.3055 0.6109 0.1026 Te
0.6970 0.3941 0.2500 Te
0.3030 0.6059 0.7500 Te
0.6945 0.3891 0.6026 Te
0.6945 0.3891 0.8974 Te
0.0374 0.0749 0.1157 Te
0.0374 0.0749 0.3843 Te



(4)
PrThAl4, optimized geometry, DFT PBE; SG = I-4m2; M_tot = 0.000 μB/f.u.; E_tot = -29.8 eV per formula unit; V = 24.087 Å³ per atom; energy of formation = -0.4466 eV per atom
1.0
4.1485 0.0000 -1.2810
-0.3955 4.1296 -1.2810
0.2749 0.3025 8.2483
Pr Th Al
1 1 4
direct
0.2500 0.7500 0.5000 Pr
0.0000 0.0000 0.0000 Th
0.6669 0.1669 0.3338 Al
0.5821 0.5821 0.1642 Al
0.8331 0.3331 0.6662 Al
0.4179 0.4179 0.8358 Al